Computed, not measured: an optimized crystal structure of V3CoH at the PBE-GGA level of DFT.

```
V3CoH
1.0
3.7578 0.0000 0.0000
0.0000 3.7578 0.0000
0.0000 0.0000 3.7578
V Co H
3 1 1
Direct
0.0000 0.0000 0.5000
0.0000 0.5000 0.0000
0.5000 0.0000 0.0000
0.5000 0.5000 0.5000
0.0000 0.0000 0.0000
```

Values from the calculation:
- Space-group type: Pm-3m (221)
- Energy relative to the lowest polymorph listed for this composition: 0.00 eV per formula unit
- Total magnetic moment: 0.0 μB/cell
- Total energy: -37.92 eV/cell

Computed, not measured: an optimized crystal structure of ErHfZr at the PBE-GGA level of DFT.

```
ErHfZr
1.0
5.7327 0.0000 0.0000
0.0000 3.2991 0.0000
-1.8966 0.0000 7.9409
Er Hf Zr
2 2 2
Direct
0.2497 0.2500 0.0008
0.7503 0.7500 0.9992
0.4696 0.2500 0.6523
0.5304 0.7500 0.3477
0.0339 0.2500 0.3455
0.9661 0.7500 0.6545
```

Values from the calculation:
- Space-group type: P2_1/m (11)
- Formation energy from the elements: 0.09 eV/atom
- Energy relative to the lowest polymorph listed for this composition: 0.00 eV per formula unit
- Total magnetic moment: 0.0 μB/cell
- Total energy: -45.58 eV/cell

Computed, not measured: an optimized crystal structure of Li2Y2Pt3 at the PBE-GGA level of DFT.

```
Li2Y2Pt3
1.0
2.4141 1.3938 6.9790
-2.4141 1.3938 6.9790
0.0000 -2.7876 6.9790
Li Y Pt
2 2 3
Direct
0.1314 0.1314 0.1314
0.8686 0.8686 0.8686
0.3895 0.3895 0.3895
0.6105 0.6105 0.6105
0.0000 0.0000 0.0000
0.2531 0.2531 0.2531
0.7469 0.7469 0.7469
```

Values from the calculation:
- Space-group type: R-3m (166)
- Formation energy from the elements: -0.86 eV/atom
- Total magnetic moment: 0.0 μB/cell
- Total energy: -40.92 eV/cell

Computed, not measured: an optimized crystal structure of Ac2La4NdTm at the PBE-GGA level of DFT.

```
Ac2La4NdTm
1.0
5.2966 0.0000 0.0000
0.0000 5.3351 0.0000
-0.0081 0.0000 10.6823
Ac La Nd Tm
2 4 1 1
Direct
0.0000 0.0000 0.0000
0.5000 0.5000 0.5000
0.9997 0.5000 0.2516
0.0003 0.5000 0.7484
0.4994 0.0000 0.7474
0.5006 0.0000 0.2526
0.5000 0.5000 0.0000
0.0000 0.0000 0.5000
```

Values from the calculation:
- Space-group type: P2/m (10)
- Formation energy from the elements: 0.03 eV/atom
- Total magnetic moment: 0.0 μB/cell
- Total energy: -36.91 eV/cell

Computed, not measured: an optimized crystal structure of K3CuP at the PBE-GGA level of DFT.

```
K3CuP
1.0
6.2745 0.0000 0.0000
0.0000 6.2745 0.0000
0.0000 0.0000 6.2745
K Cu P
3 1 1
Direct
0.0000 0.0000 0.5000
0.0000 0.5000 0.0000
0.5000 0.0000 0.0000
0.5000 0.5000 0.5000
0.0000 0.0000 0.0000
```

Values from the calculation:
- Space-group type: Pm-3m (221)
- Formation energy from the elements: 0.27 eV/atom
- Energy relative to the lowest polymorph listed for this composition: 0.00 eV per formula unit
- Total magnetic moment: 1.0 μB/cell
- Total energy: -11.43 eV/cell

Computed, not measured: an optimized crystal structure of RbCoAs2 at the PBE-GGA level of DFT.

```
RbCoAs2
1.0
3.9043 0.0000 0.0000
-1.9522 3.3812 0.0000
0.0000 0.0000 20.8531
Rb Co As
3 3 6
Direct
0.0000 0.0000 0.0000
0.3333 0.6667 0.6667
0.6667 0.3333 0.3333
0.0000 0.0000 0.5000
0.3333 0.6667 0.1667
0.6667 0.3333 0.8333
0.0000 0.0000 0.2083
0.0000 0.0000 0.7917
0.3333 0.6667 0.4583
0.3333 0.6667 0.8750
0.6667 0.3333 0.1250
0.6667 0.3333 0.5417
```

Values from the calculation:
- Space-group type: R-3m (166)
- Formation energy from the elements: -0.22 eV/atom
- Energy relative to the lowest polymorph listed for this composition: 0.00 eV per formula unit
- Total magnetic moment: 0.0 μB/cell
- Total energy: -54.70 eV/cell

Computed, not measured: an optimized crystal structure of VHgTe3 at the PBE-GGA level of DFT.

```
VHgTe3
1.0
5.5721 0.0000 0.0000
0.0000 5.5721 0.0000
0.0000 0.0000 5.5721
V Hg Te
1 1 3
Direct
0.0000 0.0000 0.0000
0.5000 0.5000 0.5000
0.0000 0.5000 0.5000
0.5000 0.0000 0.5000
0.5000 0.5000 0.0000
```

Values from the calculation:
- Space-group type: Pm-3m (221)
- Energy relative to the elements, uncorrected: 978 meV/atom
- Energy relative to the lowest polymorph listed for this composition: 4.17 eV per formula unit
- Total magnetic moment: 2.7 μB/cell
- Total energy: -13.96 eV/cell

Computed, not measured: an optimized crystal structure of CePRh2 at the PBE-GGA level of DFT.

```
CePRh2
1.0
3.8738 0.0000 0.0000
0.0000 3.8738 0.0000
0.0000 0.0000 9.4262
Ce P Rh
2 2 4
Direct
0.2500 0.2500 0.2168
0.7500 0.7500 0.7832
0.2500 0.2500 0.6481
0.7500 0.7500 0.3519
0.2500 0.2500 0.8981
0.2500 0.7500 0.5000
0.7500 0.2500 0.5000
0.7500 0.7500 0.1019
```

Values from the calculation:
- Space-group type: P4/nmm (129)
- Formation energy from the elements: -0.99 eV/atom
- Total magnetic moment: 0.2 μB/cell
- Total energy: -60.00 eV/cell

Computed, not measured: an optimized crystal structure of HfVCo4 at the PBE-GGA level of DFT.

```
HfVCo4
1.0
6.8998 0.0000 0.0000
0.0000 3.5994 0.0000
0.0000 0.0000 6.2407
Hf V Co
2 2 8
Direct
0.2500 0.0000 0.1565
0.7500 0.0000 0.8435
0.2500 0.0000 0.7206
0.7500 0.0000 0.2794
0.0000 0.0000 0.5000
0.0511 0.5000 0.8084
0.2500 0.5000 0.4563
0.4489 0.5000 0.8084
0.5000 0.0000 0.5000
0.5511 0.5000 0.1916
0.7500 0.5000 0.5437
0.9489 0.5000 0.1916
```

Values from the calculation:
- Space-group type: Pmma (51)
- Formation energy from the elements: -0.06 eV/atom
- Energy relative to the lowest polymorph listed for this composition: 0.77 eV per formula unit
- Total magnetic moment: 0.1 μB/cell
- Total energy: -95.69 eV/cell

Computed, not measured: an optimized crystal structure of MnRhCl at the PBE-GGA level of DFT.

```
MnRhCl
1.0
5.9231 0.0000 0.0000
0.0000 5.9231 0.0000
0.0000 0.0000 5.9231
Mn Rh Cl
4 4 4
Direct
0.0000 0.0000 0.0000
0.0000 0.5000 0.5000
0.5000 0.0000 0.5000
0.5000 0.5000 0.0000
0.0000 0.0000 0.5000
0.0000 0.5000 0.0000
0.5000 0.0000 0.0000
0.5000 0.5000 0.5000
0.2500 0.2500 0.7500
0.2500 0.7500 0.2500
0.7500 0.2500 0.2500
0.7500 0.7500 0.7500
```

Values from the calculation:
- Space-group type: F-43m (216)
- Energy relative to the elements, uncorrected: 655 meV/atom
- Energy relative to the lowest polymorph listed for this composition: 1.90 eV per formula unit
- Total magnetic moment: 20.4 μB/cell
- Total energy: -65.61 eV/cell

Computed, not measured: an optimized crystal structure of La2NdTaN4 at the PBE-GGA level of DFT.

```
La2NdTaN4
1.0
-3.4681 3.5716 5.0033
3.4681 -3.5716 5.0033
3.4681 3.5716 -5.0033
La Nd Ta N
4 2 2 8
Direct
0.0000 0.0000 0.0000
0.5000 0.0000 0.0000
0.5000 0.0000 0.5000
0.5000 0.5000 0.5000
0.0000 0.5000 0.5000
0.5000 0.5000 0.0000
0.0000 0.0000 0.5000
0.0000 0.5000 0.0000
0.2090 0.7493 0.4597
0.2104 0.2507 0.9597
0.2150 0.2175 0.5025
0.2150 0.7125 0.9975
0.7850 0.2875 0.0025
0.7850 0.7825 0.4975
0.7896 0.7493 0.0403
0.7910 0.2507 0.5403
```

Values from the calculation:
- Space-group type: Imma (74)
- Energy relative to the elements, uncorrected: -1247 meV/atom
- Total magnetic moment: 0.0 μB/cell
- Total energy: -139.50 eV/cell

Computed, not measured: an optimized crystal structure of Mg2ZrZn10 at the PBE-GGA level of DFT.

```
Mg2ZrZn10
1.0
0.0000 6.0948 6.2950
2.7630 0.0000 6.2950
2.7630 6.0948 0.0000
Mg Zr Zn
2 1 10
Direct
0.0000 0.5000 0.0000
0.5000 0.0000 0.5000
0.0000 0.0000 0.0000
0.0000 0.0000 0.5000
0.0098 0.6487 0.3513
0.2923 0.5045 0.4955
0.3513 0.9902 0.0098
0.4955 0.7077 0.2923
0.5000 0.5000 0.0000
0.5045 0.2923 0.7077
0.6487 0.0098 0.9902
0.7077 0.4955 0.5045
0.9902 0.3513 0.6487
```

Values from the calculation:
- Space-group type: Fmmm (69)
- Formation energy from the elements: -0.07 eV/atom
- Total magnetic moment: 0.0 μB/cell
- Total energy: -25.35 eV/cell